! K3BaPd, optimized geometry, DFT PBE; values from VASP
! - Fermi-level density of states: 9.69 states/eV/cell
! - Total DFT energy (no corrections): -1.880 eV per atom
! - Total magnetization: 0.000 Bohr magnetons per cell
! - Excess energy over the best structure of this formula in the dataset: 0.0 meV/atom
&SYSTEM
  ibrav = 0, nat = 5, ntyp = 3
/
ATOMIC_SPECIES
K 39.10 K.upf
Ba 137.33 Ba.upf
Pd 106.42 Pd.upf
ATOMIC_POSITIONS angstrom
K 0.000 0.000 3.222
K 0.000 3.222 0.000
K 3.222 0.000 0.000
Ba 3.222 3.222 3.222
Pd 0.000 0.000 0.000
CELL_PARAMETERS angstrom
6.444 0.000 0.000
0.000 6.444 0.000
0.000 0.000 6.444